1.
First-principles (PBE-GGA) data for LiMg3Au5 after structural relaxation, as listed in Alexandria.

a = 8.1081 Å, b = 8.1081 Å, c = 5.6561 Å
α = 90.00°, β = 90.00°, γ = 120.00°
Space group P6_3/mcm (No. 193)
Inequivalent atoms, fractional coordinates:
Li 0.0000 0.0000 0.0000
Mg 0.0000 0.3585 0.2500
Au 0.0000 0.3021 0.7500
Au 0.3333 0.6667 0.0000

Summary:
Formation energy ... -47.9 kJ per mole of atoms
ρ ... 11.0 Mg/m³

=====

2.
First-principles (PBE-GGA) data for Li2CdGaHg8 after structural relaxation, as listed in Alexandria.

a = 6.2672 Å, b = 6.2672 Å, c = 8.7585 Å
α = 90.00°, β = 90.00°, γ = 120.00°
Space group P-3m1 (No. 164)
Inequivalent atoms, fractional coordinates:
Li 0.3333 0.6667 0.4364
Cd 0.0000 0.0000 0.5000
Ga 0.0000 0.0000 0.0000
Hg 0.1753 0.3505 0.7522
Hg 0.3333 0.6667 0.0935

Summary:
Formation energy ... -1.8 kJ per mole of atoms
ρ ... 10.0 Mg/m³

=====

3.
First-principles (PBE-GGA) data for BiBPbF2 after structural relaxation, as listed in Alexandria.

a = 4.394 Å, b = 4.394 Å, c = 4.892 Å
α = 90.00°, β = 90.00°, γ = 90.00°
Space group P4/mmm (No. 123)
Inequivalent atoms, fractional coordinates:
Bi 0.000 0.000 0.000
B 0.000 0.000 0.500
Pb 0.500 0.500 0.000
F 0.000 0.500 0.500

Summary:
ρ ... 8.2 Mg/m³
ΔE_f (raw) ... -0.2915 eV per atom